No. 1
ScSbRh2: single point on PBEsol structure, meta-GGA SCAN.

Summary:
DFT total energy, eV/atom: -30.687
Formation energy (no corrections), kJ/mol of formula units: -358
Symmetry: I4/mmm, No. 139

Lattice parameters (Å, degrees): 4.173 4.727 4.173 63.81 90.00 116.19
Element x y z (fractional)
1 Rh 0.750 0.500 0.750
2 Sb 0.500 0.000 0.500
3 Sc 0.000 0.000 0.000
4 Rh 0.250 0.500 0.250



No. 2
Li3Rh: single point on PBEsol structure, meta-GGA SCAN.

Summary:
DFT total energy, eV/atom: -10.291
ΔE_f, kJ/mol of formula units: -22
Symmetry: P6_3/mmc, No. 194

Lattice parameters (Å, degrees): 4.407 5.260 5.260 120.00 90.00 90.00
Element x y z (fractional)
1 Li 0.250 0.350 0.175
2 Li 0.250 0.825 0.175
3 Li 0.750 0.175 0.350
4 Li 0.750 0.650 0.825
5 Li 0.750 0.175 0.825
6 Rh 0.750 0.667 0.333
7 Rh 0.250 0.333 0.667
8 Li 0.250 0.825 0.650



No. 3
RhPbSN2: single point on PBEsol structure, meta-GGA SCAN.

Summary:
DFT total energy, eV/atom: -26.741
Formation energy (no corrections), kJ/mol of formula units: 392
Symmetry: P4/mmm, No. 123

Lattice parameters (Å, degrees): 3.893 3.893 4.956 90.00 90.00 90.00
Element x y z (fractional)
1 Rh 0.000 0.000 0.000
2 N 0.500 0.000 0.000
3 Pb 0.500 0.500 0.500
4 S 0.000 0.000 0.500
5 N 0.000 0.500 0.000



- Among the records above, which one has the lowest DFT total energy?
  ScSbRh2



- Which of these has the highest DFT total energy?
  Li3Rh



- Among the records above, which one has the lowest DFT total energy?
  ScSbRh2



- The highest DFT total energy belongs to which entry?
  Li3Rh